No. 1
Zr2AlAs after structural relaxation, computed with PBE.

Calculated values
* ρ: 6.187 Mg/m³
* space group: Amm2 (38)
* DOS(E_F): 1.19 states/eV/cell
* energy above the most stable polymorph in this dataset: 0 meV/atom
* energy relative to the elements: -0.79 eV/atom

abc: 3.9071 3.8163 5.4622
angles: 69.57 90.00 90.00
Positions (direct):
Zr1 0.5000 0.2697 0.3361
Zr2 0.0000 0.9767 0.9216
As1 0.5000 0.5441 0.7861
Al1 0.0000 0.7096 0.4562



No. 2
ZrAl2As after structural relaxation, computed with PBE.

Calculated values
* ρ: 5.018 Mg/m³
* space group: P4mm (99)
* DOS(E_F): 1.13 states/eV/cell
* energy relative to the elements: -0.42 eV/atom

abc: 3.5689 3.5689 5.7179
angles: 90.00 90.00 90.00
Positions (direct):
Al1 0.0000 0.0000 0.0159
Al2 0.5000 0.5000 0.2438
Zr1 0.5000 0.5000 0.7413
As1 0.0000 0.0000 0.4990



No. 3
Zr2AlAs after structural relaxation, computed with PBE.

Calculated values
* ρ: 6.057 Mg/m³
* space group: Fm-3m (225)
* DOS(E_F): 4.16 states/eV/cell
* energy above the most stable polymorph in this dataset: 432 meV/atom
* energy relative to the elements: -0.36 eV/atom

abc: 4.7951 4.7951 4.7951
angles: 60.00 60.00 60.00
Positions (direct):
Al1 0.0000 0.0000 0.0000
Zr1 0.2500 0.2500 0.2500
Zr2 0.7500 0.7500 0.7500
As1 0.5000 0.5000 0.5000



No. 4
ZrAlAs after structural relaxation, computed with PBE.

Calculated values
* ρ: 5.467 Mg/m³
* space group: P4/nmm (129)
* DOS(E_F): 4.48 states/eV/cell
* energy relative to the elements: -0.58 eV/atom

abc: 3.6854 3.6854 8.6380
angles: 90.00 90.00 90.00
Positions (direct):
Zr1 0.0000 0.5000 0.7781
Zr2 0.5000 0.0000 0.2219
Al1 0.0000 0.5000 0.4349
Al2 0.5000 0.0000 0.5651
As1 0.0000 0.5000 0.1293
As2 0.5000 0.0000 0.8707



No. 5
Zr2AlAs after structural relaxation, computed with PBE.

Calculated values
* ρ: 5.629 Mg/m³
* space group: P4/mmm (123)
* DOS(E_F): 1.96 states/eV/cell
* energy above the most stable polymorph in this dataset: 181 meV/atom
* energy relative to the elements: -0.61 eV/atom

abc: 3.9046 3.9046 5.5017
angles: 90.00 90.00 90.00
Positions (direct):
Zr1 0.0000 0.0000 0.8750
Zr2 0.5000 0.5000 0.3750
Al1 0.0000 0.0000 0.3750
As1 0.5000 0.5000 0.8750



No. 6
ZrAlAs after structural relaxation, computed with PBE.

Calculated values
* ρ: 5.503 Mg/m³
* space group: P3m1 (156)
* DOS(E_F): 2.42 states/eV/cell
* energy relative to the elements: -0.22 eV/atom

abc: 3.1662 3.1662 6.7131
angles: 90.00 90.00 120.00
Positions (direct):
Zr1 0.6667 0.3333 0.6618
As1 0.3333 0.6667 0.3295
Al1 0.0000 0.0000 0.0086



No. 7
Zr2AlAs after structural relaxation, computed with PBE.

Calculated values
* ρ: 6.119 Mg/m³
* space group: C2 (5)
* DOS(E_F): 2.32 states/eV/cell
* energy above the most stable polymorph in this dataset: 253 meV/atom
* energy relative to the elements: -0.54 eV/atom

abc: 5.5382 5.5381 5.5333
angles: 137.30 137.29 61.91
Positions (direct):
As1 0.2498 0.7504 0.5002
Zr1 0.0004 0.9997 0.9999
Zr2 0.7498 0.2504 0.5001
Al1 0.5001 0.4996 0.9998



No. 8
ZrAl2As after structural relaxation, computed with PBE.

Calculated values
* ρ: 5.082 Mg/m³
* space group: Imm2 (44)
* DOS(E_F): 2.09 states/eV/cell
* energy relative to the elements: -0.38 eV/atom

abc: 5.2008 5.2008 5.2008
angles: 134.05 133.67 67.31
Positions (direct):
As1 0.4996 0.4996 0.0000
Zr1 0.2500 0.7500 0.5000
Al1 0.9996 0.9996 0.0000
Al2 0.7507 0.2507 0.5000



No. 9
ZrAlAs after structural relaxation, computed with PBE.

Calculated values
* ρ: 5.648 Mg/m³
* space group: Amm2 (38)
* DOS(E_F): 2.87 states/eV/cell
* energy relative to the elements: -0.61 eV/atom

abc: 3.7764 3.8279 15.7109
angles: 90.00 90.00 90.00
Positions (direct):
Al1 0.5000 0.5000 0.3746
Al2 0.0000 0.5000 0.8733
Al3 0.5000 0.0000 0.8746
Al4 0.0000 0.0000 0.3733
As1 0.5000 0.0000 0.4997
As2 0.5000 0.0000 0.1797
As3 0.5000 0.5000 0.6797
As4 0.5000 0.5000 0.9997
Zr1 0.0000 0.0000 0.7342
Zr2 0.0000 0.5000 0.2342
Zr3 0.0000 0.0000 0.0501
Zr4 0.0000 0.5000 0.5501



No. 10
ZrAlAs after structural relaxation, computed with PBE.

Calculated values
* ρ: 5.612 Mg/m³
* space group: Amm2 (38)
* DOS(E_F): 4.39 states/eV/cell
* energy relative to the elements: -0.62 eV/atom

abc: 3.6423 3.6056 17.4057
angles: 90.00 90.00 90.00
Positions (direct):
Zr1 0.5000 0.5000 0.0616
Zr2 0.5000 0.0000 0.5616
Zr3 0.5000 0.5000 0.7429
Zr4 0.5000 0.0000 0.2429
As1 0.0000 0.0000 0.9913
As2 0.0000 0.0000 0.6796
As3 0.0000 0.5000 0.1796
As4 0.0000 0.5000 0.4913
Al1 0.5000 0.0000 0.4029
Al2 0.0000 0.5000 0.3332
Al3 0.0000 0.0000 0.8332
Al4 0.5000 0.5000 0.9029



No. 11
Zr2AlAs after structural relaxation, computed with PBE.

Calculated values
* ρ: 4.045 Mg/m³
* space group: I-42d (122)
* DOS(E_F): 2.09 states/eV/cell
* energy above the most stable polymorph in this dataset: 1178 meV/atom
* energy relative to the elements: 0.39 eV/atom

abc: 5.8426 5.8426 7.9903
angles: 68.56 68.56 90.00
Positions (direct):
Zr1 0.3750 0.3593 0.7500
Zr2 0.6407 0.1250 0.2500
Zr3 0.1093 0.6250 0.2500
Zr4 0.8750 0.8907 0.7500
Al1 0.5000 0.5000 0.0000
Al2 0.2500 0.7500 0.5000
As1 0.7500 0.2500 0.5000
As2 0.0000 0.0000 0.0000



No. 12
ZrAlAs after structural relaxation, computed with PBE.

Calculated values
* ρ: 5.593 Mg/m³
* space group: P4/nmm (129)
* DOS(E_F): 3.12 states/eV/cell
* energy relative to the elements: -0.63 eV/atom

abc: 3.8705 3.8705 7.6543
angles: 90.00 90.00 90.00
Positions (direct):
As1 0.0000 0.5000 0.1757
As2 0.5000 0.0000 0.8243
Zr1 0.0000 0.5000 0.8084
Zr2 0.5000 0.0000 0.1916
Al1 0.0000 0.0000 0.5000
Al2 0.5000 0.5000 0.5000



No. 13
ZrAl2As after structural relaxation, computed with PBE.

Calculated values
* ρ: 5.052 Mg/m³
* space group: P4/mmm (123)
* DOS(E_F): 2.19 states/eV/cell
* energy relative to the elements: -0.33 eV/atom

abc: 3.9587 3.9549 4.6206
angles: 90.00 90.00 90.00
Positions (direct):
Al1 0.0000 0.0000 0.0000
Al2 0.5000 0.5000 0.0000
Zr1 0.0000 0.5000 0.5000
As1 0.5000 0.0000 0.5000



No. 14
ZrAl2As after structural relaxation, computed with PBE.

Calculated values
* ρ: 4.927 Mg/m³
* space group: P4/mmm (123)
* DOS(E_F): 1.94 states/eV/cell
* energy relative to the elements: -0.32 eV/atom

abc: 3.7163 3.7163 5.3710
angles: 90.00 90.00 90.00
Positions (direct):
As1 0.5000 0.5000 0.2500
Al1 0.0000 0.0000 0.5006
Al2 0.0000 0.0000 0.9994
Zr1 0.5000 0.5000 0.7500



No. 15
ZrAl2As after structural relaxation, computed with PBE.

Calculated values
* ρ: 4.904 Mg/m³
* space group: Cm (8)
* DOS(E_F): 2.17 states/eV/cell
* energy relative to the elements: -0.26 eV/atom

abc: 5.1807 5.1807 5.1340
angles: 85.51 85.51 32.87
Positions (direct):
Zr1 0.2550 0.2550 0.2697
Al1 0.9948 0.9948 0.9804
Al2 0.7337 0.7337 0.7819
As1 0.5165 0.5165 0.4680



No. 16
Zr2AlAs after structural relaxation, computed with PBE.

Calculated values
* ρ: 6.144 Mg/m³
* space group: I4/mmm (139)
* DOS(E_F): 1.59 states/eV/cell
* energy above the most stable polymorph in this dataset: 281 meV/atom
* energy relative to the elements: -0.51 eV/atom

abc: 5.0830 5.0830 5.0830
angles: 129.19 129.19 74.70
Positions (direct):
Al1 0.2500 0.7500 0.5000
Zr1 0.0000 0.0000 0.0000
Zr2 0.5000 0.5000 0.0000
As1 0.7500 0.2500 0.5000



No. 17
ZrAl2As after structural relaxation, computed with PBE.

Calculated values
* ρ: 4.844 Mg/m³
* space group: P4mm (99)
* DOS(E_F): 2.04 states/eV/cell
* energy relative to the elements: -0.16 eV/atom

abc: 2.9700 2.9700 8.5546
angles: 90.00 90.00 90.00
Positions (direct):
As1 0.0000 0.0000 0.5088
Zr1 0.5000 0.5000 0.7544
Al1 0.5000 0.5000 0.2344
Al2 0.0000 0.0000 0.0023



No. 18
Zr2AlAs after structural relaxation, computed with PBE.

Calculated values
* ρ: 6.048 Mg/m³
* space group: F-43m (216)
* DOS(E_F): 5.15 states/eV/cell
* energy above the most stable polymorph in this dataset: 802 meV/atom
* energy relative to the elements: 0.01 eV/atom

abc: 4.7974 4.7973 4.7973
angles: 60.00 60.00 60.00
Positions (direct):
Al1 0.5000 0.5000 0.5000
Zr1 0.2500 0.2500 0.2500
Zr2 0.0000 0.0000 0.0000
As1 0.7500 0.7500 0.7500



No. 19
ZrAl2As after structural relaxation, computed with PBE.

Calculated values
* ρ: 4.706 Mg/m³
* space group: R3m (160)
* DOS(E_F): 0.60 states/eV/cell
* energy relative to the elements: -0.21 eV/atom

abc: 8.4191 8.4191 8.4191
angles: 22.65 22.65 22.65
Positions (direct):
Al1 0.9960 0.9960 0.9960
Al2 0.2429 0.2429 0.2429
Zr1 0.7557 0.7557 0.7557
As1 0.5054 0.5054 0.5054



No. 20
ZrAlAs after structural relaxation, computed with PBE.

Calculated values
* ρ: 5.828 Mg/m³
* space group: I4mm (107)
* DOS(E_F): 2.48 states/eV/cell
* energy relative to the elements: -0.50 eV/atom

abc: 5.2652 5.2655 3.4314
angles: 70.98 70.99 38.03
Positions (direct):
Al1 0.0136 0.0136 0.9864
Zr1 0.3264 0.3264 0.6736
As1 0.6600 0.6600 0.3400



Asked for raw total energy across the records above, the calculation gives -7.1615, -5.5953, -6.7295, -6.2304, -6.9801, -5.8686, -6.9086, -5.5510, -6.2596, -6.2696, -5.9830, -6.2769, -5.5014, -5.4880, -5.4284, -6.8808, -5.3353, -6.3599, -5.3769, -6.1507 eV/atom in order.